A relaxed Mn2CrTc crystal, computed with GGA-PBE.

The volume is 12.33 Å³ per atom. The density is 8.7 Mg/m³. The calculation puts the energy relative to the elements at 0.149 eV per atom.

It has space group Cmm2 (No. 35), with a = 2.985 Å, b = 4.130 Å, c = 8.002 Å, α = 90.00°, β = 90.00° and γ = 90.00°. Symmetry generates all atoms from Mn at (0.000, 0.000, 0.000), Mn at (0.000, 0.500, 0.239), Cr at (0.000, 0.000, 0.473) and Tc at (0.000, 0.500, 0.738).

A relaxed HfMgSe2 crystal, computed with GGA-PBE.

For the uncorrected formation energy, the calculation gives -0.93 eV per atom. The volume is 25.74 Å³ per atom. The density is 5.8 Mg/m³.

It has space group R-3m (No. 166, hexagonal axes), with a = 3.6700 Å, b = 3.6700 Å, c = 26.4813 Å, α = 90.00°, β = 90.00° and γ = 120.00°. Symmetry generates all atoms from Hf at (0.0000, 0.0000, 0.0000), Mg at (0.0000, 0.0000, 0.5000) and Se at (0.0000, 0.0000, 0.3952).

A relaxed ZnFe2Ni8 crystal, computed with GGA-PBE.

The volume is 11.67 Å³ per atom. The density is 8.4 Mg/m³. The calculation puts the energy relative to the elements at 0.048 eV per atom.

It has space group Immm (No. 71), with a = 3.844 Å, b = 6.229 Å, c = 10.724 Å, α = 90.00°, β = 90.00° and γ = 90.00°. Symmetry generates all atoms from Zn at (0.000, 0.000, 0.000), Fe at (0.000, 0.000, 0.302), Ni at (0.000, 0.197, 0.500), Ni at (0.000, 0.288, 0.153) and Ni at (0.000, 0.500, 0.348).

A relaxed CsTc2Ni2 crystal, computed with GGA-PBE.

The volume is 21.98 Å³ per atom. The density is 6.7 Mg/m³. The calculation puts the energy relative to the elements at 0.794 eV per atom.

It has space group I4/mmm (No. 139), with a = 3.749 Å, b = 3.749 Å, c = 15.639 Å, α = 90.00°, β = 90.00° and γ = 90.00°. Symmetry generates all atoms from Cs at (0.000, 0.000, 0.000), Tc at (0.000, 0.500, 0.250) and Ni at (0.000, 0.000, 0.351).

A relaxed Cs5AgI8 crystal, computed with GGA-PBE.

For the uncorrected formation energy, the calculation gives -1.06 eV per atom. The volume is 56.49 Å³ per atom. The density is 3.8 Mg/m³.

It has space group I-4 (No. 82), with a = 11.175 Å, b = 11.175 Å, c = 12.668 Å, α = 90.00°, β = 90.00° and γ = 90.00°. Symmetry generates all atoms from Cs at (0.000, 0.000, 0.000), Cs at (0.138, 0.725, 0.390), Ag at (0.000, 0.500, 0.750), I at (0.061, 0.734, 0.715) and I at (0.111, 0.689, 0.088).

A relaxed CdIrPt2 crystal, computed with GGA-PBE.

The volume is 16.30 Å³ per atom. The density is 17.7 Mg/m³. The calculation puts the energy relative to the elements at 0.029 eV per atom.

It has space group C2/m (No. 12), with a = 9.282 Å, b = 2.843 Å, c = 5.016 Å, α = 90.00°, β = 99.84° and γ = 90.00°. Symmetry generates all atoms from Cd at (0.000, 0.000, 0.000), Ir at (0.000, 0.500, 0.500) and Pt at (0.244, 0.000, 0.735).